1.
Entry from Alexandria: crystalline CdAsRh2 at its relaxed geometry (PBE).

Cell: 8.2973 8.2973 8.2973 Å, 21.24 21.24 21.24°
Last column: nearest neighbours and their distance in Å.
Fractional coordinates of all 4 atoms:
1 Rh 0.9892 0.9892 0.9892  3 As 2.50
2 Rh 0.5108 0.5108 0.5108  3 As 2.50
3 Cd 0.7500 0.7500 0.7500  6 Rh 2.89, 6 Cd 3.06
4 As 0.2500 0.2500 0.2500  6 Rh 2.50

Computed properties:
N(E_F)   0.911 states/eV per atom
Calculated volume   66 Å³ per cell
Calculated formation energy   -202.8 meV/atom
Offset from the most stable computed form   61 meV/atom

---

2.
Entry from Alexandria: crystalline SrCdAg2 at its relaxed geometry (PBE).

Cell: 4.8624 4.8624 5.8596 Å, 65.34 65.34 60.21°
Last column: nearest neighbours and their distance in Å.
Fractional coordinates of all 4 atoms:
1 Sr 0.7500 0.7500 0.7500  8 Ag 3.21-3.41
2 Ag 0.5420 0.5420 0.3747  3 Cd 2.88, 3 Ag 3.07-3.10, 1 Sr 3.21
3 Ag 0.9580 0.9580 0.1253  3 Cd 2.88, 3 Ag 3.07-3.10, 1 Sr 3.21
4 Cd 0.2500 0.2500 0.2500  6 Ag 2.88

Computed properties:
N(E_F)   0.370 states/eV per atom
Calculated volume   105 Å³ per cell
Calculated formation energy   -242.4 meV/atom

---

3.
Entry from Alexandria: crystalline CuPtAu2 at its relaxed geometry (PBE).

Cell: 9.2362 9.2362 9.2362 Å, 17.78 17.78 17.78°
Last column: nearest neighbours and their distance in Å.
Fractional coordinates of all 4 atoms:
1 Au 0.5047 0.5047 0.5047  3 Cu 2.70, 6 Au 2.85, 3 Pt 2.91
2 Au 0.9953 0.9953 0.9953  3 Cu 2.70, 6 Au 2.85, 3 Pt 2.91
3 Pt 0.7500 0.7500 0.7500  6 Pt 2.85, 6 Au 2.91
4 Cu 0.2500 0.2500 0.2500  6 Au 2.70, 6 Cu 2.85

Computed properties:
N(E_F)   0.416 states/eV per atom
Calculated volume   64 Å³ per cell
Calculated formation energy   4.1 meV/atom
Offset from the most stable computed form   52 meV/atom

---

4.
Entry from Alexandria: crystalline TiSbTe2N at its relaxed geometry (PBE).

Cell: 5.3109 5.3109 5.3000 Å, 90.00 90.00 90.00°
Last column: nearest neighbours and their distance in Å.
Fractional coordinates of all 5 atoms:
1 Sb 0.0000 0.0000 0.5000  2 Ti 2.65
2 Ti 0.0000 0.0000 0.0000  2 Sb 2.65, 4 Te 2.66
3 N 0.5000 0.5000 0.5000  8 Te 3.75, 4 Sb 3.76
4 Te 0.0000 0.5000 0.0000  2 Ti 2.66
5 Te 0.5000 0.0000 0.0000  2 Ti 2.66

Computed properties:
N(E_F)   0.782 states/eV per atom
Calculated volume   149 Å³ per cell
Offset from the most stable computed form   985 meV/atom

---

5.
Entry from Alexandria: crystalline TbPm2Ho3As6 at its relaxed geometry (PBE).

Cell: 4.1551 8.3028 9.2838 Å, 102.88 102.93 90.00°
Last column: nearest neighbours and their distance in Å.
Fractional coordinates of all 12 atoms:
1 Tb 0.5000 0.0000 0.0000  6 As 2.94-2.95
2 Ho 0.8331 0.1663 0.6661  6 As 2.90-2.93
3 Ho 0.1669 0.8337 0.3339  6 As 2.90-2.93
4 Ho 0.5000 0.5000 0.0000  6 As 2.90-2.93
5 As 0.6669 0.0775 0.3339  3 Ho 2.90-2.93, 1 Tb 2.94, 2 Pm 2.97
6 As 0.6648 0.5880 0.3296  3 Ho 2.90-2.91, 3 Pm 2.97-2.98
7 As 0.0022 0.7497 0.0044  3 Ho 2.90-2.93, 2 Tb 2.95, 1 Pm 2.97
8 As 0.3352 0.4120 0.6704  3 Ho 2.90-2.91, 3 Pm 2.97-2.98
9 As 0.9978 0.2503 0.9956  3 Ho 2.90-2.93, 2 Tb 2.95, 1 Pm 2.97
10 As 0.3331 0.9225 0.6661  3 Ho 2.90-2.93, 1 Tb 2.94, 2 Pm 2.97
11 Pm 0.1661 0.3325 0.3323  6 As 2.97-2.98
12 Pm 0.8339 0.6675 0.6677  6 As 2.97-2.98

Computed properties:
N(E_F)   0.150 states/eV per atom
Calculated volume   304 Å³ per cell
Calculated formation energy   -1525.5 meV/atom

---

6.
Entry from Alexandria: crystalline Be3Cr2B at its relaxed geometry (PBE).

Cell: 4.1074 4.1074 4.1132 Å, 89.99 119.99 119.98°
Last column: nearest neighbours and their distance in Å.
Fractional coordinates of all 6 atoms:
1 Cr 0.7469 0.3732 0.1201  9 Be 2.40-2.42, 3 B 2.40-2.41, 4 Cr 2.50-2.55
2 Cr 0.2531 0.6268 0.8799  9 Be 2.40-2.42, 3 B 2.40-2.41, 4 Cr 2.50-2.55
3 B 0.0000 0.0000 0.0000  6 Be 2.06
4 Be 0.5000 0.5000 0.5000  4 Be 2.05, 2 B 2.06
5 Be 0.5000 0.0000 0.5000  4 Be 2.05, 2 B 2.06
6 Be 0.0000 0.0000 0.5000  4 Be 2.05, 2 B 2.06

Computed properties:
N(E_F)   0.264 states/eV per atom
Calculated volume   49 Å³ per cell
Calculated formation energy   -312.1 meV/atom

---

7.
Entry from Alexandria: crystalline Ba2Tl3Hg2 at its relaxed geometry (PBE).

Cell: 4.7106 8.8207 12.0584 Å, 90.00 101.26 90.00°
Last column: nearest neighbours and their distance in Å.
Fractional coordinates of all 14 atoms:
1 Ba 0.0638 0.7500 0.1275  9 Tl 3.74-3.99, 4 Hg 4.04
2 Ba 0.9362 0.2500 0.8725  9 Tl 3.74-3.99, 4 Hg 4.04
3 Ba 0.1605 0.2500 0.3210  4 Hg 3.58, 6 Tl 3.60-3.73
4 Ba 0.8395 0.7500 0.6790  4 Hg 3.58, 6 Tl 3.60-3.73
5 Tl 0.4437 0.9216 0.8875  2 Tl 3.00-3.03, 1 Hg 3.16
6 Tl 0.5563 0.0784 0.1125  2 Tl 3.00-3.03, 1 Hg 3.16
7 Tl 0.2246 0.7500 0.4491  6 Hg 3.12-3.47
8 Tl 0.7754 0.2500 0.5509  6 Hg 3.12-3.47
9 Tl 0.4437 0.5784 0.8875  2 Tl 3.00-3.03, 1 Hg 3.16
10 Tl 0.5563 0.4216 0.1125  2 Tl 3.00-3.03, 1 Hg 3.16
11 Hg 0.6809 0.5503 0.3618  4 Tl 3.12-3.47
12 Hg 0.3191 0.0503 0.6382  4 Tl 3.12-3.47
13 Hg 0.6809 0.9497 0.3618  4 Tl 3.12-3.47
14 Hg 0.3191 0.4497 0.6382  4 Tl 3.12-3.47

Computed properties:
N(E_F)   0.762 states/eV per atom
Calculated volume   491 Å³ per cell
Calculated formation energy   -314.9 meV/atom
Offset from the most stable computed form   39 meV/atom

---

8.
Entry from Alexandria: crystalline CrFeNi3 at its relaxed geometry (PBE).

Cell: 4.1974 4.1974 4.1974 Å, 90.00 90.00 90.00°
Last column: nearest neighbours and their distance in Å.
Fractional coordinates of all 5 atoms:
1 Ni 0.0000 0.0000 0.5000  2 Cr 2.10
2 Ni 0.5000 0.0000 0.0000  2 Cr 2.10
3 Ni 0.0000 0.5000 0.0000  2 Cr 2.10
4 Cr 0.0000 0.0000 0.0000  6 Ni 2.10
5 Fe 0.5000 0.5000 0.5000  12 Ni 2.97

Computed properties:
N(E_F)   1.296 states/eV per atom
Calculated volume   74 Å³ per cell
Calculated formation energy   1241.1 meV/atom
Offset from the most stable computed form   1219 meV/atom

---

What did the fourth record say?
Entry from Alexandria: crystalline TiSbTe2N at its relaxed geometry (PBE).

Cell: 5.3109 5.3109 5.3000 Å, 90.00 90.00 90.00°
Last column: nearest neighbours and their distance in Å.
Fractional coordinates of all 5 atoms:
1 Sb 0.0000 0.0000 0.5000  2 Ti 2.65
2 Ti 0.0000 0.0000 0.0000  2 Sb 2.65, 4 Te 2.66
3 N 0.5000 0.5000 0.5000  8 Te 3.75, 4 Sb 3.76
4 Te 0.0000 0.5000 0.0000  2 Ti 2.66
5 Te 0.5000 0.0000 0.0000  2 Ti 2.66

Computed properties:
N(E_F)   0.782 states/eV per atom
Calculated volume   149 Å³ per cell
Offset from the most stable computed form   985 meV/atom

---

- Which value of calculated volume does entry 3 give?
  64 Å³ per cell